Material: KLi2BrO
Method: DFT, PBE
State: optimized geometry

Values from the calculation:
Total DFT energy (no corrections) (eV/atom): -3.753
Calculated volume (Å³ per atom): 19.33
DOS(E_F) (states/eV/atom): 0.000

Unit cell a=4.2159 b=4.2159 c=5.4384 alpha=90.00 beta=90.00 gamma=90.00
With the nearest neighbours (Å) after each atom.
Sites, in units of the cell vectors:
K 0.0000 0.0000 0.0000  2 O 2.72, 4 Br 2.98
Li 0.0000 0.5000 0.5000  2 O 2.11
Li 0.5000 0.0000 0.5000  2 O 2.11
Br 0.5000 0.5000 0.0000  4 K 2.98
O 0.0000 0.0000 0.5000  4 Li 2.11

=====

Material: K2LiBr2O6
Method: DFT, PBE
State: optimized geometry

Values from the calculation:
Total DFT energy (no corrections) (eV/atom): -4.008
Calculated volume (Å³ per atom): 16.67
DOS(E_F) (states/eV/atom): 0.229

Unit cell a=7.1232 b=7.1232 c=7.1232 alpha=48.07 beta=48.07 gamma=48.07
With the nearest neighbours (Å) after each atom.
Sites, in units of the cell vectors:
K 0.1998 0.1998 0.1998  9 O 2.81-3.08
K 0.8002 0.8002 0.8002  9 O 2.81-3.08
Li 0.0000 0.0000 0.0000  6 O 2.22
Br 0.3864 0.3864 0.3864  3 O 1.77
Br 0.6136 0.6136 0.6136  3 O 1.77
O 0.2427 0.2427 0.7514  1 Br 1.77
O 0.2427 0.7514 0.2427  1 Br 1.77
O 0.2486 0.7573 0.7573  1 Br 1.77
O 0.7514 0.2427 0.2427  1 Br 1.77
O 0.7573 0.2486 0.7573  1 Br 1.77
O 0.7573 0.7573 0.2486  1 Br 1.77

=====

Material: KLiPaBr6
Method: DFT, PBE
State: optimized geometry

Values from the calculation:
Total DFT energy (no corrections) (eV/atom): -4.073
Calculated volume (Å³ per atom): 37.20
DOS(E_F) (states/eV/atom): 0.069

Unit cell a=7.2331 b=7.2331 c=14.7788 alpha=90.00 beta=90.00 gamma=120.00
With the nearest neighbours (Å) after each atom.
Sites, in units of the cell vectors:
K 0.0000 0.0000 0.0000  6 Br 3.37
K 0.0000 0.0000 0.5000  6 Br 3.37
Li 0.3333 0.6667 0.2500  6 Br 2.80
Li 0.6667 0.3333 0.7500  6 Br 2.80
Pa 0.3333 0.6667 0.7500  6 Br 2.82
Pa 0.6667 0.3333 0.2500  6 Br 2.82
Br 0.0016 0.3658 0.1412  1 Li 2.80, 1 Pa 2.82
Br 0.0016 0.6359 0.3588  1 Li 2.80, 1 Pa 2.82
Br 0.3641 0.3658 0.3588  1 Li 2.80, 1 Pa 2.82
Br 0.3641 0.9984 0.1412  1 Li 2.80, 1 Pa 2.82
Br 0.3658 0.0016 0.6412  1 Li 2.80, 1 Pa 2.82
Br 0.3658 0.3641 0.8588  1 Li 2.80, 1 Pa 2.82
Br 0.6342 0.6359 0.1412  1 Li 2.80, 1 Pa 2.82
Br 0.6342 0.9984 0.3588  1 Li 2.80, 1 Pa 2.82
Br 0.6359 0.0016 0.8588  1 Li 2.80, 1 Pa 2.82
Br 0.6359 0.6342 0.6412  1 Li 2.80, 1 Pa 2.82
Br 0.9984 0.3641 0.6412  1 Li 2.80, 1 Pa 2.82
Br 0.9984 0.6342 0.8588  1 Li 2.80, 1 Pa 2.82

=====

Material: KLiPbBr4
Method: DFT, PBE
State: optimized geometry

Values from the calculation:
Total DFT energy (no corrections) (eV/atom): -3.228
Calculated volume (Å³ per atom): 33.43
DOS(E_F) (states/eV/atom): 0.000

Unit cell a=7.2114 b=7.5716 c=9.0004 alpha=90.00 beta=107.78 gamma=90.00
With the nearest neighbours (Å) after each atom.
Sites, in units of the cell vectors:
K 0.2463 0.2500 0.0585  6 Br 3.22-3.54
K 0.7537 0.7500 0.9415  6 Br 3.22-3.54
Li 0.2392 0.7500 0.3182  4 Br 2.48-2.52
Li 0.7608 0.2500 0.6818  4 Br 2.48-2.52
Pb 0.2202 0.2500 0.5519  6 Br 2.98-3.18
Pb 0.7798 0.7500 0.4481  6 Br 2.98-3.18
Br 0.0025 0.5007 0.7287  1 Li 2.52
Br 0.0025 0.9993 0.7287  1 Li 2.52
Br 0.4510 0.7500 0.1468  1 Li 2.48
Br 0.4578 0.7500 0.5908  1 Li 2.48
Br 0.5422 0.2500 0.4092  1 Li 2.48
Br 0.5490 0.2500 0.8532  1 Li 2.48
Br 0.9975 0.0007 0.2713  1 Li 2.52
Br 0.9975 0.4993 0.2713  1 Li 2.52

=====

Material: K2LiPbBr6
Method: DFT, PBE
State: optimized geometry

Values from the calculation:
Total DFT energy (no corrections) (eV/atom): -3.020
Calculated volume (Å³ per atom): 33.02
DOS(E_F) (states/eV/atom): 0.629

Unit cell a=7.6548 b=7.9389 c=13.2616 alpha=90.00 beta=124.96 gamma=90.00
With the nearest neighbours (Å) after each atom.
Sites, in units of the cell vectors:
K 0.2243 0.0760 0.2474  6 Br 3.34-3.56
K 0.2243 0.4240 0.7474  6 Br 3.34-3.56
K 0.7757 0.5760 0.2526  6 Br 3.34-3.56
K 0.7757 0.9240 0.7526  6 Br 3.34-3.56
Li 0.0000 0.0000 0.5000  6 Br 2.74-2.82
Li 0.0000 0.5000 0.0000  6 Br 2.74-2.82
Pb 0.5000 0.0000 0.0000  6 Br 2.91-2.92
Pb 0.5000 0.5000 0.5000  6 Br 2.91-2.92
Br 0.1422 0.2053 0.9489  1 Li 2.82, 1 Pb 2.91
Br 0.1422 0.2947 0.4489  1 Li 2.82, 1 Pb 2.91
Br 0.2537 0.6937 0.9546  1 Li 2.80, 1 Pb 2.92
Br 0.2537 0.8063 0.4546  1 Li 2.80, 1 Pb 2.92
Br 0.3402 0.0177 0.7418  1 Li 2.74, 1 Pb 2.91
Br 0.3402 0.4823 0.2418  1 Li 2.74, 1 Pb 2.91
Br 0.6598 0.5177 0.7582  1 Li 2.74, 1 Pb 2.91
Br 0.6598 0.9823 0.2582  1 Li 2.74, 1 Pb 2.91
Br 0.7463 0.1937 0.5454  1 Li 2.80, 1 Pb 2.92
Br 0.7463 0.3063 0.0454  1 Li 2.80, 1 Pb 2.92
Br 0.8578 0.7053 0.5511  1 Li 2.82, 1 Pb 2.91
Br 0.8578 0.7947 0.0511  1 Li 2.82, 1 Pb 2.91

=====

Material: K2Li2PmBr6
Method: DFT, PBE
State: optimized geometry

Values from the calculation:
Total DFT energy (no corrections) (eV/atom): -3.437
Calculated volume (Å³ per atom): 32.17
DOS(E_F) (states/eV/atom): 0.533

Unit cell a=7.2544 b=7.2544 c=7.7648 alpha=90.00 beta=90.00 gamma=120.00
With the nearest neighbours (Å) after each atom.
Sites, in units of the cell vectors:
K 0.3333 0.6667 0.9997  6 Br 3.30
K 0.6667 0.3333 0.0003  6 Br 3.30
Li 0.3333 0.6667 0.4993  6 Br 2.83-2.84
Li 0.6667 0.3333 0.5007  6 Br 2.83-2.84
Pm 0.0000 0.0000 0.5000  6 Br 2.98
Br 0.0001 0.3496 0.2973  2 Li 2.83-2.84, 1 Pm 2.98
Br 0.9999 0.6504 0.7027  2 Li 2.83-2.84, 1 Pm 2.98
Br 0.3495 0.9999 0.2973  2 Li 2.83-2.84, 1 Pm 2.98
Br 0.3496 0.3495 0.7027  2 Li 2.83-2.84, 1 Pm 2.98
Br 0.6504 0.6505 0.2973  2 Li 2.83-2.84, 1 Pm 2.98
Br 0.6505 0.0001 0.7027  2 Li 2.83-2.84, 1 Pm 2.98

=====

Material: KLiPmBr5
Method: DFT, PBE
State: optimized geometry

Values from the calculation:
Total DFT energy (no corrections) (eV/atom): -3.776
Calculated volume (Å³ per atom): 36.91
DOS(E_F) (states/eV/atom): 0.000

Unit cell a=7.9352 b=7.9352 c=10.7322 alpha=103.56 beta=103.56 gamma=107.74
With the nearest neighbours (Å) after each atom.
Sites, in units of the cell vectors:
K 0.1461 0.8539 0.7500  5 Br 3.34-3.40
K 0.8539 0.1461 0.2500  5 Br 3.34-3.40
Li 0.1910 0.8090 0.2500  4 Br 2.54-2.58
Li 0.8090 0.1910 0.7500  4 Br 2.54-2.58
Pm 0.5000 0.5000 0.0000  6 Br 2.88-2.91
Pm 0.5000 0.5000 0.5000  6 Br 2.88-2.91
Br 0.1180 0.2495 0.9306  1 Li 2.58, 1 Pm 2.88
Br 0.1815 0.5803 0.3814  1 Li 2.54
Br 0.2495 0.1180 0.4306  1 Li 2.58, 1 Pm 2.88
Br 0.4117 0.5883 0.7500  2 Pm 2.91
Br 0.4197 0.8185 0.1186  1 Li 2.54
Br 0.5803 0.1815 0.8814  1 Li 2.54
Br 0.5883 0.4117 0.2500  2 Pm 2.91
Br 0.7505 0.8820 0.5694  1 Li 2.58, 1 Pm 2.88
Br 0.8185 0.4197 0.6186  1 Li 2.54
Br 0.8820 0.7505 0.0694  1 Li 2.58, 1 Pm 2.88

=====

Material: KLiPm2Br8
Method: DFT, PBE
State: optimized geometry

Values from the calculation:
Total DFT energy (no corrections) (eV/atom): -3.924
Calculated volume (Å³ per atom): 37.31
DOS(E_F) (states/eV/atom): 0.000

Unit cell a=7.0906 b=8.8776 c=7.1581 alpha=90.00 beta=96.50 gamma=90.00
With the nearest neighbours (Å) after each atom.
Sites, in units of the cell vectors:
K 0.0000 0.0000 0.0000  6 Br 3.17-3.45
Li 0.0000 0.5000 0.0000  4 Br 2.72
Pm 0.5000 0.2574 0.5000  6 Br 2.84-2.95
Pm 0.5000 0.7426 0.5000  6 Br 2.84-2.95
Br 0.2125 0.2835 0.1923  1 Li 2.72, 1 Pm 2.84
Br 0.2125 0.7165 0.1923  1 Li 2.72, 1 Pm 2.84
Br 0.3036 0.5000 0.6758  2 Pm 2.93
Br 0.3138 0.0000 0.6653  2 Pm 2.95
Br 0.6862 0.0000 0.3347  2 Pm 2.95
Br 0.6964 0.5000 0.3242  2 Pm 2.93
Br 0.7875 0.2835 0.8077  1 Li 2.72, 1 Pm 2.84
Br 0.7875 0.7165 0.8077  1 Li 2.72, 1 Pm 2.84

=====

Material: KLiPr2Br8
Method: DFT, PBE
State: optimized geometry

Values from the calculation:
Total DFT energy (no corrections) (eV/atom): -3.928
Calculated volume (Å³ per atom): 38.17
DOS(E_F) (states/eV/atom): 0.000

Unit cell a=7.1223 b=9.0122 c=7.1789 alpha=90.00 beta=96.31 gamma=90.00
With the nearest neighbours (Å) after each atom.
Sites, in units of the cell vectors:
K 0.0000 0.0000 0.0000  6 Br 3.19-3.44
Li 0.0000 0.5000 0.0000  4 Br 2.72
Pr 0.5000 0.2574 0.5000  6 Br 2.88-2.99
Pr 0.5000 0.7426 0.5000  6 Br 2.88-2.99
Br 0.2071 0.2843 0.1922  1 Li 2.72, 1 Pr 2.88
Br 0.2071 0.7157 0.1922  1 Li 2.72, 1 Pr 2.88
Br 0.3044 0.5000 0.6801  2 Pr 2.97
Br 0.3141 0.0000 0.6691  2 Pr 2.99
Br 0.6859 0.0000 0.3309  2 Pr 2.99
Br 0.6956 0.5000 0.3199  2 Pr 2.97
Br 0.7929 0.2843 0.8078  1 Li 2.72, 1 Pr 2.88
Br 0.7929 0.7157 0.8078  1 Li 2.72, 1 Pr 2.88

=====

| no. | M_tot (μB per atom) |
| --- | --- |
| 1 | 0.000 |
| 2 | 0.000 |
| 3 | 0.112 |
| 4 | 0.000 |
| 5 | 0.000 |
| 6 | 0.089 |
| 7 | 0.000 |
| 8 | 0.000 |
| 9 | 0.000 |